[1]
A plane-wave DFT calculation with PBE-GGA was carried out for a geometry-optimized GaTcAu structure.

Summary:
Total moment in Bohr magnetons per cell: 0.0
Formation enthalpy at 0 K in eV/atom: 0.05

```
data_GaTcAu
_chemical_formula_sum 'Ga2 Tc2 Au2'
_symmetry_space_group_name_H-M 'P -1'
_symmetry_Int_Tables_number 2
_cell_length_a 2.9312
_cell_length_b 4.2315
_cell_length_c 8.6479
_cell_angle_alpha 76.09
_cell_angle_beta 87.32
_cell_angle_gamma 89.92
loop_
_symmetry_equiv_pos_as_xyz
'x,y,z'
'-x,-y,-z'
loop_
_atom_site_label
_atom_site_type_symbol
_atom_site_fract_x
_atom_site_fract_y
_atom_site_fract_z
Ga1 Ga 0.2012 0.0960 0.3161
Tc1 Tc 0.3216 0.4324 0.6272
Au1 Au 0.2388 0.7118 0.0780
```


[2]
A plane-wave DFT calculation with PBE-GGA was carried out for a geometry-optimized Ga2TcAu2 structure.

Summary:
E above lowest polymorph in eV per formula unit: 0.00
Total moment in Bohr magnetons per cell: 2.3
Formation enthalpy at 0 K in eV/atom: 0.17

```
data_Ga2TcAu2
_chemical_formula_sum 'Ga4 Tc2 Au4'
_symmetry_space_group_name_H-M 'P 4/m b m'
_symmetry_Int_Tables_number 127
_symmetry_space_group_name_Hall '-P 4 2ab'
_cell_length_a 7.1621
_cell_length_b 7.1621
_cell_length_c 3.2575
_cell_angle_alpha 90.00
_cell_angle_beta 90.00
_cell_angle_gamma 90.00
loop_
_atom_site_label
_atom_site_type_symbol
_atom_site_fract_x
_atom_site_fract_y
_atom_site_fract_z
Ga1 Ga 0.1489 0.3511 0.0000
Tc1 Tc 0.0000 0.0000 0.0000
Au1 Au 0.1526 0.6526 0.5000
```


Question: Which of these has the highest formation enthalpy at 0 K?
Answer: Ga2TcAu2